## ReRh2W (PBE)

Data for an optimized crystal structure of ReRh2W.

Properties
- ΔE to the lowest computed polymorph (eV/f.u.) = 0.55
- energy of formation (meV per atom) = -63
- electronic total energy (eV/atom) = -10.089
- space group = I-4m2

Cell lengths 4.716, 4.716, 4.716 Å; angles 130.54, 130.54, 72.54 degrees
Fractional positions:
Rh 0.750 0.250 0.500
Re 0.250 0.750 0.500
W 0.500 0.500 0.000
Rh 0.000 0.000 0.000

=====

## Ba2CuAg2 (PBE)

Data for an optimized crystal structure of Ba2CuAg2.

Properties
- ΔE to the lowest computed polymorph (eV/f.u.) = 0.00
- energy of formation (meV per atom) = -37
- electronic total energy (eV/atom) = -2.766
- space group = P4/mbm

Cell lengths 8.348, 8.348, 4.626 Å; angles 90.00, 90.00, 90.00 degrees
Fractional positions:
Ba 0.820 0.320 0.500
Ba 0.180 0.680 0.500
Ba 0.320 0.180 0.500
Ag 0.121 0.379 0.000
Cu 0.000 0.000 0.000
Cu 0.500 0.500 0.000
Ag 0.379 0.879 0.000
Ag 0.621 0.121 0.000
Ba 0.680 0.820 0.500
Ag 0.879 0.621 0.000

=====

> Number 2 is which compound?

Ba2CuAg2